Entry 1:
The following is a GGA-PBE calculation of Ca2VHg after structural relaxation, from Alexandria via LeMat-Bulk.

Computed properties:
**Total magnetization**: 3.94 μB per formula unit
**DFT formation energy**: 0.424 eV per atom
**SG**: No. 122

abc: 8.400 8.400 6.745
angles: 51.48 51.48 90.00
Site moments in Bohr magnetons follow the coordinates.
Element x y z (fractional)
Ca  0.635  0.125  0.250  0.06
Ca  0.115  0.625  0.250  0.06
Ca  0.375  0.365  0.750  0.06
Ca  0.875  0.885  0.750  0.06
Hg  0.000  0.000  0.000  -0.01
Hg  0.750  0.250  0.500  -0.01
V  0.500  0.500  0.000  2.93
V  0.250  0.750  0.500  2.93

Entry 2:
The following is a GGA-PBE calculation of Ca2HgW after structural relaxation, from Alexandria via LeMat-Bulk.

Computed properties:
**Total magnetization**: 0.68 μB per formula unit
**DFT formation energy**: 0.709 eV per atom
**SG**: No. 123

abc: 4.489 4.488 4.658
angles: 90.00 90.00 90.00
Site moments in Bohr magnetons follow the coordinates.
Element x y z (fractional)
Ca  0.000  0.000  0.000  -0.01
Ca  0.500  0.500  0.000  -0.01
Hg  0.500  0.000  0.500  -0.02
W  0.000  0.500  0.500  0.60

It is found that the theoretical density values, taken in the order of the records, are 4.89; 8.22 Mg/m³.